Arrangement 1

Computed, not measured: an optimized crystal structure of ReRu3Se at the GGA-PBE level of DFT.

Cell lengths 4.4654, 4.4654, 4.4654 Å; angles 90.00, 90.00, 90.00 degrees
Closest atoms and distances in Å follow each position.
Positions (direct):
Se: 0.0000 0.0000 0.0000  6 Ru 2.23
Ru: 0.0000 0.0000 0.5000  2 Se 2.23
Ru: 0.5000 0.0000 0.0000  2 Se 2.23
Ru: 0.0000 0.5000 0.0000  2 Se 2.23
Re: 0.5000 0.5000 0.5000  12 Ru 3.16

Calculated values
SG = Pm-3m, No. 221
spin magnetization = 3.49 μB per formula unit
ρ = 10.6 g/cm³

Arrangement 2

Computed, not measured: an optimized crystal structure of ReRu3Se at the GGA-PBE level of DFT.

Cell lengths 4.6974, 4.6974, 4.6974 Å; angles 90.00, 90.00, 90.00 degrees
Closest atoms and distances in Å follow each position.
Positions (direct):
Ru: 0.0000 0.0000 0.5000  2 Re 2.35
Se: 0.5000 0.5000 0.5000  12 Ru 3.32
Ru: 0.0000 0.5000 0.0000  2 Re 2.35
Re: 0.0000 0.0000 0.0000  6 Ru 2.35
Ru: 0.5000 0.0000 0.0000  2 Re 2.35

Calculated values
SG = Pm-3m, No. 221
spin magnetization = 2.06 μB per formula unit
ρ = 9.1 g/cm³

Least stable of them? arrangement 2.

Arrangement 1

Computed, not measured: an optimized crystal structure of ReSiRu3 at the GGA-PBE level of DFT.

Cell lengths 4.6563, 4.6563, 4.6563 Å; angles 90.00, 90.00, 90.00 degrees
Closest atoms and distances in Å follow each position.
Positions (direct):
Ru: 0.0000 0.5000 0.0000  2 Re 2.33
Si: 0.5000 0.5000 0.5000  12 Ru 3.29
Re: 0.0000 0.0000 0.0000  6 Ru 2.33
Ru: 0.0000 0.0000 0.5000  2 Re 2.33
Ru: 0.5000 0.0000 0.0000  2 Re 2.33

Calculated values
SG = Pm-3m, No. 221
spin magnetization = 0.00 μB per formula unit
ρ = 8.5 g/cm³

Arrangement 2

Computed, not measured: an optimized crystal structure of ReSiRu3 at the GGA-PBE level of DFT.

Cell lengths 4.3060, 4.3060, 4.3060 Å; angles 90.00, 90.00, 90.00 degrees
Closest atoms and distances in Å follow each position.
Positions (direct):
Ru: 0.0000 0.0000 0.5000  2 Si 2.15
Re: 0.5000 0.5000 0.5000  12 Ru 3.04
Ru: 0.5000 0.0000 0.0000  2 Si 2.15
Ru: 0.0000 0.5000 0.0000  2 Si 2.15
Si: 0.0000 0.0000 0.0000  6 Ru 2.15

Calculated values
SG = Pm-3m, No. 221
spin magnetization = 2.09 μB per formula unit
ρ = 10.8 g/cm³

Least stable of them? arrangement 1.

Arrangement 1

Computed, not measured: an optimized crystal structure of SrReRu at the GGA-PBE level of DFT.

Cell lengths 6.5905, 6.5905, 3.2014 Å; angles 75.94, 75.94, 28.11 degrees
Closest atoms and distances in Å follow each position.
Positions (direct):
Sr: 0.6659 0.6659 0.3341  4 Sr 3.20, 4 Re 3.39, 4 Ru 3.41
Ru: 0.3722 0.3722 0.6278  4 Re 2.52
Re: 0.9619 0.9619 0.0381  4 Ru 2.52

Calculated values
SG = I4mm, No. 107
spin magnetization = 0.00 μB per formula unit
ρ = 9.8 g/cm³

Arrangement 2

Computed, not measured: an optimized crystal structure of SrReRu at the GGA-PBE level of DFT.

Cell lengths 4.1145, 4.1145, 5.0775 Å; angles 90.00, 90.00, 120.00 degrees
Closest atoms and distances in Å follow each position.
Positions (direct):
Sr: 0.6667 0.3333 0.6684  6 Ru 3.37-3.58, 6 Re 3.39-3.56
Re: 0.0000 0.0000 0.1917  3 Ru 2.39
Ru: 0.3333 0.6667 0.1399  3 Re 2.39

Calculated values
SG = P3m1, No. 156
spin magnetization = 0.00 μB per formula unit
ρ = 8.4 g/cm³

Least stable of them? arrangement 1.

Arrangement 1

Computed, not measured: an optimized crystal structure of SrReRu at the GGA-PBE level of DFT.

Cell lengths 4.6318, 4.6318, 4.6318 Å; angles 60.00, 60.00, 60.00 degrees
Closest atoms and distances in Å follow each position.
Positions (direct):
Sr: 0.2500 0.2500 0.2500  4 Re 2.84, 4 Ru 2.84
Re: 0.0000 0.0000 0.0000  4 Sr 2.84
Ru: 0.5000 0.5000 0.5000  4 Sr 2.84

Calculated values
SG = F-43m, No. 216
spin magnetization = 2.81 μB per formula unit
ρ = 8.9 g/cm³

Arrangement 2

Computed, not measured: an optimized crystal structure of SrReRu at the GGA-PBE level of DFT.

Cell lengths 2.9201, 2.9201, 7.5925 Å; angles 90.00, 90.00, 120.00 degrees
Closest atoms and distances in Å follow each position.
Positions (direct):
Sr: 0.3333 0.6667 0.6642  6 Sr 2.92, 3 Ru 3.25
Re: 0.0000 0.0000 0.0369  3 Ru 2.61, 6 Re 2.92
Ru: 0.6667 0.3333 0.2990  3 Re 2.61, 6 Ru 2.92

Calculated values
SG = P3m1, No. 156
spin magnetization = 0.00 μB per formula unit
ρ = 11.1 g/cm³

Least stable of them? arrangement 1.

Arrangement 1

Computed, not measured: an optimized crystal structure of TaRe3Ru at the GGA-PBE level of DFT.

Cell lengths 4.6013, 4.6013, 4.6013 Å; angles 90.00, 90.00, 90.00 degrees
Closest atoms and distances in Å follow each position.
Positions (direct):
Re: 0.0000 0.5000 0.0000  2 Ru 2.30
Re: 0.5000 0.0000 0.0000  2 Ru 2.30
Ru: 0.0000 0.0000 0.0000  6 Re 2.30
Re: 0.0000 0.0000 0.5000  2 Ru 2.30
Ta: 0.5000 0.5000 0.5000  12 Re 3.25

Calculated values
SG = Pm-3m, No. 221
spin magnetization = 0.00 μB per formula unit
ρ = 14.3 g/cm³

Arrangement 2

Computed, not measured: an optimized crystal structure of TaRe3Ru at the GGA-PBE level of DFT.

Cell lengths 4.6686, 4.6686, 4.6686 Å; angles 90.00, 90.00, 90.00 degrees
Closest atoms and distances in Å follow each position.
Positions (direct):
Ru: 0.5000 0.5000 0.5000  12 Re 3.30
Ta: 0.0000 0.0000 0.0000  6 Re 2.33
Re: 0.5000 0.0000 0.0000  2 Ta 2.33
Re: 0.0000 0.5000 0.0000  2 Ta 2.33
Re: 0.0000 0.0000 0.5000  2 Ta 2.33

Calculated values
SG = Pm-3m, No. 221
spin magnetization = 0.00 μB per formula unit
ρ = 13.7 g/cm³

Least stable of them? arrangement 2.

Arrangement 1

Computed, not measured: an optimized crystal structure of TaRe2Ru at the GGA-PBE level of DFT.

Cell lengths 4.8612, 4.8612, 2.8145 Å; angles 90.00, 90.00, 111.18 degrees
Closest atoms and distances in Å follow each position.
Positions (direct):
Ta: 0.0000 0.5000 0.5000  2 Ru 2.75, 8 Re 2.81, 2 Ta 2.81
Re: 0.0000 0.0000 0.0000  4 Re 2.75-2.81, 4 Ta 2.81, 4 Ru 2.81
Ru: 0.5000 0.0000 0.5000  2 Ta 2.75, 8 Re 2.81, 2 Ru 2.81
Re: 0.5000 0.5000 0.0000  4 Re 2.75-2.81, 4 Ru 2.81, 4 Ta 2.81

Calculated values
SG = Cmmm, No. 65
spin magnetization = 0.00 μB per formula unit
ρ = 17.5 g/cm³

Arrangement 2

Computed, not measured: an optimized crystal structure of TaRe2Ru at the GGA-PBE level of DFT.

Cell lengths 4.3144, 2.7625, 5.3634 Å; angles 76.77, 90.00, 90.00 degrees
Closest atoms and distances in Å follow each position.
Positions (direct):
Re: 0.0000 0.9353 0.0100  2 Ru 2.65-2.85, 4 Re 2.69-2.76, 2 Ta 2.70
Ru: 0.0000 0.5786 0.5122  2 Ta 2.59, 2 Re 2.65-2.85, 2 Ru 2.76
Ta: 0.5000 0.7560 0.7421  2 Ru 2.59, 4 Re 2.70-2.73, 2 Ta 2.76
Re: 0.5000 0.2301 0.2357  6 Re 2.69-2.97, 2 Ta 2.71-2.73, 4 Ru 2.90-2.98

Calculated values
SG = Pm, No. 6
spin magnetization = 0.00 μB per formula unit
ρ = 17.5 g/cm³

Least stable of them? arrangement 1.